The following is a GGA-PBE calculation of a geometry-optimized LiMg2Hg structure, from OQMD.

The structure belongs to space group P6_3/mmc (No. 194); the cell edges are 4.8078, 4.8078 and 8.4921 Å and the angles 90.00°, 90.00° and 120.00°. The asymmetric unit holds Li at (0.0000, 0.0000, 0.0000), Mg at (0.3333, 0.6667, 0.0851) and Hg at (0.3333, 0.6667, 0.7500).

The volume is 21.2 Å³ per atom. The value obtained for the total energy is -11.3 eV/cell.